Arrangement w

Entry from Alexandria: Zn4Ag2Au5 after structural relaxation (PBE).

CIF file:
```
data_Zn4Ag2Au5
_symmetry_space_group_name_H-M 'P 1'
_symmetry_Int_Tables_number 1
_cell_length_a 6.612
_cell_length_b 6.612
_cell_length_c 6.175
_cell_angle_alpha 104.03
_cell_angle_beta 104.03
_cell_angle_gamma 49.35
loop_
_symmetry_equiv_pos_as_xyz
'x,y,z'
loop_
_atom_site_label
_atom_site_type_symbol
_atom_site_fract_x
_atom_site_fract_y
_atom_site_fract_z
Zn1 Zn 0.067 0.067 0.359
Zn2 Zn 0.259 0.259 0.247
Zn3 Zn 0.741 0.741 0.753
Zn4 Zn 0.933 0.933 0.641
Ag1 Ag 0.268 0.268 0.674
Ag2 Ag 0.732 0.732 0.326
Au1 Au 0.147 0.649 0.077
Au2 Au 0.351 0.853 0.923
Au3 Au 0.500 0.500 0.500
Au4 Au 0.649 0.147 0.077
Au5 Au 0.853 0.351 0.923
```

---

Arrangement x

Entry from Alexandria: Zn4Ag2Au5 after structural relaxation (PBE).

CIF file:
```
data_Zn4Ag2Au5
_symmetry_space_group_name_H-M 'P 1'
_symmetry_Int_Tables_number 1
_cell_length_a 5.005
_cell_length_b 5.576
_cell_length_c 7.407
_cell_angle_alpha 82.33
_cell_angle_beta 76.54
_cell_angle_gamma 80.46
loop_
_symmetry_equiv_pos_as_xyz
'x,y,z'
loop_
_atom_site_label
_atom_site_type_symbol
_atom_site_fract_x
_atom_site_fract_y
_atom_site_fract_z
Zn1 Zn 0.061 0.040 0.173
Zn2 Zn 0.226 0.576 0.277
Zn3 Zn 0.774 0.424 0.723
Zn4 Zn 0.939 0.960 0.827
Ag1 Ag 0.281 0.617 0.624
Ag2 Ag 0.719 0.383 0.376
Au1 Au 0.000 0.500 0.000
Au2 Au 0.223 0.147 0.501
Au3 Au 0.446 0.789 0.933
Au4 Au 0.554 0.211 0.067
Au5 Au 0.777 0.853 0.499
```

---

Consider the structures shown above. The most stable of them is arrangement x.